Record 1
VASP calculation (PBE) on a relaxed structure of Y3Tm5In2.

Values from the calculation:
DFT total energy (eV/atom): -4.64
Energy relative to the elements (eV per atom): 0.08
Fermi-level density of states (states/eV/atom): 1.2856

a b c (Å): 6.301 10.482 10.482
angles (deg): 95.41 72.51 72.51
Fractional coordinates of all 20 atoms:
Y (0.250, 0.000, 0.000)
Y (0.750, 0.000, 0.000)
Y (0.387, 0.342, 0.885)
Y (0.613, 0.658, 0.115)
Y (0.887, 0.885, 0.342)
Y (0.113, 0.115, 0.658)
Tm (0.250, 0.500, 0.500)
Tm (0.750, 0.500, 0.500)
Tm (0.502, 0.748, 0.748)
Tm (0.998, 0.252, 0.252)
Tm (0.498, 0.252, 0.252)
Tm (0.002, 0.748, 0.748)
Tm (0.122, 0.542, 0.215)
Tm (0.878, 0.458, 0.785)
Tm (0.622, 0.215, 0.542)
Tm (0.378, 0.785, 0.458)
In (0.137, 0.716, 0.010)
In (0.863, 0.284, 0.990)
In (0.637, 0.010, 0.716)
In (0.363, 0.990, 0.284)

---

Record 2
VASP calculation (PBE) on a relaxed structure of YTm6In2.

Values from the calculation:
DFT total energy (eV/atom): -4.52
Energy relative to the elements (eV per atom): -0.21
Fermi-level density of states (states/eV/atom): 1.1622

a b c (Å): 3.697 6.536 11.633
angles (deg): 75.22 80.86 73.57
Fractional coordinates of all 9 atoms:
Y (0.000, 0.000, 0.000)
Tm (0.684, 0.509, 0.124)
Tm (0.316, 0.491, 0.876)
Tm (0.312, 0.794, 0.582)
Tm (0.986, 0.685, 0.343)
Tm (0.014, 0.315, 0.657)
Tm (0.688, 0.206, 0.418)
In (0.354, 0.081, 0.210)
In (0.646, 0.919, 0.790)

---

Record 3
VASP calculation (PBE) on a relaxed structure of YTm6In5.

Values from the calculation:
DFT total energy (eV/atom): -4.28
Energy relative to the elements (eV per atom): -0.36
Fermi-level density of states (states/eV/atom): 0.9470

a b c (Å): 4.913 8.760 8.964
angles (deg): 119.25 105.90 90.00
Fractional coordinates of all 12 atoms:
Y (0.000, 0.000, 0.000)
Tm (0.830, 0.566, 0.661)
Tm (0.830, 0.094, 0.661)
Tm (0.500, 0.725, 0.000)
Tm (0.500, 0.275, 0.000)
Tm (0.170, 0.906, 0.339)
Tm (0.170, 0.434, 0.339)
In (0.651, 0.151, 0.302)
In (0.322, 0.322, 0.643)
In (0.000, 0.500, 0.000)
In (0.678, 0.678, 0.357)
In (0.349, 0.849, 0.698)

---

Record 4
VASP calculation (PBE) on a relaxed structure of Y6Tm2In.

Values from the calculation:
DFT total energy (eV/atom): -5.62
Relative energy among the computed polymorphs (eV/atom): 0.000
Energy relative to the elements (eV per atom): -0.01
Fermi-level density of states (states/eV/atom): 1.4530

a b c (Å): 6.352 9.470 9.470
angles (deg): 93.35 86.60 86.60
Fractional coordinates of all 18 atoms:
Y (0.925, 0.528, 0.674)
Y (0.575, 0.326, 0.472)
Y (0.075, 0.472, 0.326)
Y (0.425, 0.674, 0.528)
Y (0.906, 0.817, 0.408)
Y (0.594, 0.592, 0.183)
Y (0.094, 0.183, 0.592)
Y (0.406, 0.408, 0.817)
Y (0.074, 0.694, 0.038)
Y (0.426, 0.962, 0.306)
Y (0.926, 0.306, 0.962)
Y (0.574, 0.038, 0.694)
Tm (0.552, 0.740, 0.862)
Tm (0.948, 0.138, 0.260)
Tm (0.448, 0.260, 0.138)
Tm (0.052, 0.862, 0.740)
In (0.250, 0.013, 0.987)
In (0.750, 0.987, 0.013)

---

Record 5
VASP calculation (PBE) on a relaxed structure of Y4Tm9In11.

Values from the calculation:
DFT total energy (eV/atom): -4.39
Energy relative to the elements (eV per atom): -0.38
Fermi-level density of states (states/eV/atom): 0.7583

a b c (Å): 3.456 14.019 14.019
angles (deg): 111.38 90.00 90.00
Fractional coordinates of all 24 atoms:
Y (0.500, 0.592, 0.755)
Y (0.500, 0.408, 0.245)
Y (0.500, 0.755, 0.592)
Y (0.500, 0.245, 0.408)
Tm (0.500, 0.612, 0.166)
Tm (0.500, 0.388, 0.834)
Tm (0.500, 0.166, 0.612)
Tm (0.500, 0.834, 0.388)
Tm (0.500, 0.797, 0.989)
Tm (0.500, 0.203, 0.011)
Tm (0.500, 0.989, 0.797)
Tm (0.500, 0.011, 0.203)
Tm (0.500, 0.500, 0.500)
In (0.000, 0.591, 0.959)
In (0.000, 0.409, 0.041)
In (0.000, 0.959, 0.591)
In (0.000, 0.041, 0.409)
In (0.000, 0.621, 0.379)
In (0.000, 0.379, 0.621)
In (0.000, 0.812, 0.188)
In (0.000, 0.188, 0.812)
In (0.000, 0.000, 0.000)
In (0.000, 0.797, 0.797)
In (0.000, 0.203, 0.203)

---

Record 6
VASP calculation (PBE) on a relaxed structure of Y5Tm12In2.

Values from the calculation:
DFT total energy (eV/atom): -4.82
Energy relative to the elements (eV per atom): -0.01
Fermi-level density of states (states/eV/atom): 1.4553

a b c (Å): 9.122 8.950 8.226
angles (deg): 90.98 90.00 120.64
Fractional coordinates of all 19 atoms:
Y (0.237, 0.473, 0.580)
Y (0.310, 0.619, 0.998)
Y (0.000, 0.000, 0.500)
Y (0.690, 0.381, 0.002)
Y (0.763, 0.527, 0.420)
Tm (0.913, 0.825, 0.110)
Tm (0.035, 0.699, 0.760)
Tm (0.664, 0.699, 0.760)
Tm (0.178, 0.751, 0.340)
Tm (0.572, 0.751, 0.340)
Tm (0.448, 0.896, 0.675)
Tm (0.552, 0.104, 0.325)
Tm (0.822, 0.249, 0.660)
Tm (0.428, 0.249, 0.660)
Tm (0.965, 0.301, 0.240)
Tm (0.336, 0.301, 0.240)
Tm (0.087, 0.175, 0.890)
In (0.683, 0.000, 0.000)
In (0.317, 0.000, 0.000)

---

Record 7
VASP calculation (PBE) on a relaxed structure of Y9TmIn2.

Values from the calculation:
DFT total energy (eV/atom): -5.85
Energy relative to the elements (eV per atom): -0.17
Fermi-level density of states (states/eV/atom): 1.3383

a b c (Å): 4.891 4.891 14.968
angles (deg): 90.00 90.00 90.00
Fractional coordinates of all 12 atoms:
Y (0.500, 0.500, 0.000)
Y (0.500, 0.500, 0.338)
Y (0.500, 0.500, 0.662)
Y (0.500, 0.000, 0.172)
Y (0.500, 0.000, 0.500)
Y (0.500, 0.000, 0.828)
Y (0.000, 0.500, 0.172)
Y (0.000, 0.500, 0.500)
Y (0.000, 0.500, 0.828)
Tm (0.000, 0.000, 0.000)
In (0.000, 0.000, 0.339)
In (0.000, 0.000, 0.661)

---

Record 8
VASP calculation (PBE) on a relaxed structure of Y5Tm2In.

Values from the calculation:
DFT total energy (eV/atom): -5.58
Energy relative to the elements (eV per atom): -0.08
Fermi-level density of states (states/eV/atom): 1.3655

a b c (Å): 7.042 7.042 6.998
angles (deg): 120.21 120.20 90.00
Fractional coordinates of all 8 atoms:
Y (0.722, 0.222, 0.944)
Y (0.222, 0.222, 0.944)
Y (0.722, 0.722, 0.944)
Y (0.222, 0.722, 0.944)
Y (0.722, 0.722, 0.444)
Tm (0.222, 0.722, 0.444)
Tm (0.722, 0.222, 0.444)
In (0.222, 0.222, 0.444)

---

Record 9
VASP calculation (PBE) on a relaxed structure of Y3Tm4In4.

Values from the calculation:
DFT total energy (eV/atom): -4.60
Energy relative to the elements (eV per atom): -0.22
Fermi-level density of states (states/eV/atom): 1.0296

a b c (Å): 4.666 8.535 9.540
angles (deg): 116.57 104.16 90.00
Fractional coordinates of all 11 atoms:
Y (0.118, 0.118, 0.237)
Y (0.882, 0.882, 0.763)
Y (0.000, 0.500, 0.000)
Tm (0.330, 0.130, 0.659)
Tm (0.670, 0.471, 0.341)
Tm (0.670, 0.870, 0.341)
Tm (0.330, 0.529, 0.659)
In (0.225, 0.725, 0.450)
In (0.775, 0.275, 0.550)
In (0.500, 0.822, 0.000)
In (0.500, 0.178, 0.000)

---

Record 10
VASP calculation (PBE) on a relaxed structure of Y2TmIn.

Values from the calculation:
DFT total energy (eV/atom): -5.27
Relative energy among the computed polymorphs (eV/atom): 0.028
Energy relative to the elements (eV per atom): -0.24
Fermi-level density of states (states/eV/atom): 1.2043

a b c (Å): 3.574 3.574 9.200
angles (deg): 90.00 90.00 90.00
Fractional coordinates of all 4 atoms:
Y (0.000, 0.000, 0.771)
Y (0.000, 0.000, 0.229)
Tm (0.500, 0.500, 0.500)
In (0.500, 0.500, 0.000)

---

Record 11
VASP calculation (PBE) on a relaxed structure of YTm3In.

Values from the calculation:
DFT total energy (eV/atom): -4.69
Relative energy among the computed polymorphs (eV/atom): 0.000
Energy relative to the elements (eV per atom): -0.16
Fermi-level density of states (states/eV/atom): 1.2844

a b c (Å): 3.637 9.352 9.746
angles (deg): 107.22 79.27 112.89
Fractional coordinates of all 10 atoms:
Y (0.310, 0.624, 0.628)
Y (0.690, 0.376, 0.372)
Tm (0.877, 0.177, 0.598)
Tm (0.755, 0.256, 0.002)
Tm (0.943, 0.048, 0.211)
Tm (0.123, 0.823, 0.402)
Tm (0.057, 0.952, 0.789)
Tm (0.245, 0.744, 0.998)
In (0.533, 0.442, 0.818)
In (0.467, 0.558, 0.182)

---

Record 12
VASP calculation (PBE) on a relaxed structure of Y3Tm2In3.

Values from the calculation:
DFT total energy (eV/atom): -4.96
Energy relative to the elements (eV per atom): -0.39
Fermi-level density of states (states/eV/atom): 0.8027

a b c (Å): 3.748 5.322 11.570
angles (deg): 103.30 99.32 90.00
Fractional coordinates of all 8 atoms:
Y (0.625, 0.625, 0.250)
Y (0.375, 0.375, 0.750)
Y (0.500, 0.000, 0.000)
Tm (0.736, 0.236, 0.471)
Tm (0.264, 0.764, 0.529)
In (0.121, 0.121, 0.242)
In (0.000, 0.500, 0.000)
In (0.879, 0.879, 0.758)

---

Question: Look up the Fermi-level density of states of the ninth one.
Answer: 1.0296 states/eV/atom

---

Question: Among the records above, which one has the lowest DFT total energy?
Answer: Y9TmIn2

---

Question: Among the records above, which one has the highest Fermi-level density of states?
Answer: Y5Tm12In2

---

Question: Among the records above, which one has the highest energy relative to the elements?
Answer: Y3Tm5In2